Density functional theory data (GGA-PBE) for crystalline VSiTc at its relaxed geometry.

For the formation energy (no corrections), the calculation gives -0.3926 eV/atom. As for the spin magnetization: 0.0 μB/f.u. The density of states at the Fermi level comes out at 0.808 states/eV/atom. The calculation puts the polymorph energy (0 for the lowest one) at 0.127 eV/atom.

It has space group P1 (No. 1), with a = 4.458 Å, b = 4.576 Å, c = 4.971 Å, α = 65.46°, β = 72.87° and γ = 62.13°. The inequivalent atoms are V at (0.000, 0.000, 0.000), V at (0.431, 0.821, 0.493), Si at (0.095, 0.479, 0.516), Si at (0.661, 0.683, 0.978), Tc at (0.316, 0.326, 0.020) and Tc at (0.758, 0.165, 0.482).